KCe2Ir: optimized geometry, PBE-GGA.

- ΔE_f: -0.203 eV/atom
- Calculated density: 5.08 Mg/m³

Cell lengths 4.1583, 4.1583, 33.5297 Å; angles 90.00, 90.00, 120.00 degrees
With the nearest neighbours (Å) after each atom.
Space group R-3m (No. 166, hexagonal axes)
Symmetry-distinct sites (fractional):
1 K 0.0000 0.0000 0.0000 x3  2 Ce 4.14, 6 K 4.16
2 Ce 0.0000 0.0000 0.1234 x6  3 Ir 2.81
3 Ir 0.0000 0.0000 0.5000 x3  6 Ce 2.81